Material: NaPbO2
Method: DFT, GGA-PBE
State: relaxed

Geometry as POSCAR:
```
NaPbO2
1.0
6.365 0.000 0.000
0.000 6.365 0.000
3.182 3.182 3.096
O Pb Na
4 2 2
direct
0.312 0.188 0.000
0.188 0.688 0.000
0.688 0.812 0.000
0.812 0.312 0.000
0.250 0.750 0.500
0.750 0.250 0.500
0.250 0.250 0.500
0.750 0.750 0.500
```

uncorrected formation energy: -3.535 eV per formula unit
density of states at the Fermi level: 5.006 states/eV/cell
space-group type: I4/mcm (140)
M_tot: 0.12 μB/atom